Entry 1:
Entry from Alexandria: a relaxed structure of SrLiRuN2 (GGA-PBE).

Geometry as POSCAR:
```
SrLiRuN2
1.0
5.852 -1.696 0.000
5.852 1.696 0.000
-3.405 0.000 7.505
Sr Li Ru N
2 2 2 4
direct
0.169 0.169 0.138
0.831 0.831 0.862
0.153 0.153 0.513
0.847 0.847 0.487
0.463 0.463 0.254
0.537 0.537 0.746
0.118 0.118 0.774
0.363 0.363 0.654
0.637 0.637 0.346
0.882 0.882 0.226
```

Total magnetic moment, μB per formula unit: 0.00
Crystal system: monoclinic
E_form (uncorrected), eV per formula unit: -1.5
Space group: No. 12
ΔE to the lowest computed polymorph, meV per atom: 0
D(E_F), states/eV/f.u.: 3.0

Entry 2:
Entry from Alexandria: a relaxed structure of LaDyMgSc (GGA-PBE).

Geometry as POSCAR:
```
LaDyMgSc
1.0
0.000 3.878 3.878
3.878 0.000 3.878
3.878 3.878 0.000
La Dy Mg Sc
1 1 1 1
direct
0.000 0.000 0.000
0.500 0.500 0.500
0.750 0.750 0.750
0.250 0.250 0.250
```

Total magnetic moment, μB per formula unit: 0.00
Crystal system: cubic
Space group: No. 216
D(E_F), states/eV/f.u.: 5.1
DFT formation energy, eV/f.u.: 0.08

Entry 3:
Entry from Alexandria: a relaxed structure of CsPIr (GGA-PBE).

Geometry as POSCAR:
```
CsPIr
1.0
-2.023 2.023 10.852
2.023 -2.023 10.852
2.023 2.023 -10.852
Cs P Ir
2 2 2
direct
0.145 0.145 0.000
0.855 0.855 0.000
0.438 0.438 0.000
0.562 0.562 0.000
0.000 0.500 0.500
0.500 0.000 0.500
```

Total magnetic moment, μB per formula unit: 0.00
Crystal system: tetragonal
Space group: No. 139
D(E_F), states/eV/f.u.: 2.2
DFT formation energy, eV/f.u.: -0.98

Entry 4:
Entry from Alexandria: a relaxed structure of AcNd2SmEr (GGA-PBE).

Geometry as POSCAR:
```
AcNd2SmEr
1.0
6.596 0.000 0.000
0.000 8.022 0.000
0.000 0.000 6.901
Ac Nd Sm Er
2 4 2 2
direct
0.250 0.000 0.199
0.750 0.000 0.801
0.250 0.204 0.717
0.250 0.796 0.717
0.750 0.204 0.283
0.750 0.796 0.283
0.250 0.500 0.084
0.750 0.500 0.916
0.000 0.500 0.500
0.500 0.500 0.500
```

Total magnetic moment, μB per formula unit: 0.00
Crystal system: orthorhombic
Space group: No. 51
D(E_F), states/eV/f.u.: 6.1
DFT formation energy, eV/f.u.: 1.04

Entry 5:
Entry from Alexandria: a relaxed structure of LaInPO6 (GGA-PBE).

Geometry as POSCAR:
```
LaInPO6
1.0
5.205 0.000 0.000
-2.603 4.508 0.000
0.000 0.000 5.034
La In P O
1 1 1 6
direct
0.000 0.000 0.000
0.333 0.667 0.500
0.667 0.333 0.500
0.400 0.062 0.701
0.400 0.338 0.299
0.662 0.062 0.299
0.662 0.600 0.701
0.938 0.338 0.701
0.938 0.600 0.299
```

Total magnetic moment, μB per formula unit: 1.07
Crystal system: trigonal
E_form (uncorrected), eV per formula unit: -18.7
Space group: No. 149
D(E_F), states/eV/f.u.: 6.0

Entry 6:
Entry from Alexandria: a relaxed structure of CsCaPb2 (GGA-PBE).

Geometry as POSCAR:
```
CsCaPb2
1.0
4.152 0.000 0.000
0.000 4.152 0.000
0.000 0.000 8.945
Cs Ca Pb
1 1 2
direct
0.000 0.000 0.000
0.000 0.000 0.500
0.500 0.500 0.313
0.500 0.500 0.687
```

Total magnetic moment, μB per formula unit: 0.00
Crystal system: tetragonal
Space group: No. 123
ΔE to the lowest computed polymorph, meV per atom: 0
D(E_F), states/eV/f.u.: 2.8
DFT formation energy, eV/f.u.: -1.24